# 1
Crystalline TbPaH3 at its relaxed geometry. Source: Alexandria, functional PBE.

Lattice parameters (Å, degrees): 4.1396 4.1396 4.1396 90.00 90.00 90.00
Last column: nearest neighbours and their distance in Å.
Element x y z (fractional)
H: 0.0000 0.5000 0.0000  2 Pa 2.07
H: 0.0000 0.0000 0.5000  2 Pa 2.07
H: 0.5000 0.0000 0.0000  2 Pa 2.07
Pa: 0.0000 0.0000 0.0000  6 H 2.07
Tb: 0.5000 0.5000 0.5000  12 H 2.93

final energy = -24.705 eV/f.u.
spin magnetization = 0.000 Bohr magnetons per cell


# 2
Crystalline Sc3CdN at its relaxed geometry. Source: Alexandria, functional PBE.

Lattice parameters (Å, degrees): 4.1550 4.1550 15.2046 90.00 90.00 120.00
Last column: nearest neighbours and their distance in Å.
Element x y z (fractional)
Sc: 0.0000 0.0000 0.2500  3 Cd 2.40
Sc: 0.0000 0.0000 0.7500  3 Cd 2.40
Sc: 0.3333 0.6667 0.9380  3 N 2.58, 1 Cd 2.86
Sc: 0.3333 0.6667 0.5620  3 N 2.58, 1 Cd 2.86
Sc: 0.6667 0.3333 0.4380  3 N 2.58, 1 Cd 2.86
Sc: 0.6667 0.3333 0.0620  3 N 2.58, 1 Cd 2.86
N: 0.0000 0.0000 0.0000  6 Sc 2.58
N: 0.0000 0.0000 0.5000  6 Sc 2.58
Cd: 0.3333 0.6667 0.7500  3 Sc 2.40
Cd: 0.6667 0.3333 0.2500  3 Sc 2.40

final energy = -26.212 eV/f.u.
formation energy from raw total energies = 0.405 eV/atom
spin magnetization = 0.003 Bohr magnetons per cell


# 3
Crystalline AsPd at its relaxed geometry. Source: Alexandria, functional PBE.

Lattice parameters (Å, degrees): 8.4732 8.4732 4.6279 90.00 90.00 90.00
Last column: nearest neighbours and their distance in Å.
Element x y z (fractional)
As: 0.8483 0.7476 0.5000  4 Pd 2.53-2.64
As: 0.1517 0.2524 0.5000  4 Pd 2.53-2.64
As: 0.2524 0.8483 0.5000  4 Pd 2.53-2.64
As: 0.7476 0.1517 0.5000  4 Pd 2.53-2.64
As: 0.8169 0.3510 0.0000  5 Pd 2.45-2.57
As: 0.1831 0.6490 0.0000  5 Pd 2.45-2.57
As: 0.6490 0.8169 0.0000  5 Pd 2.45-2.57
As: 0.3510 0.1831 0.0000  5 Pd 2.45-2.57
Pd: 0.7459 0.4629 0.5000  4 As 2.56-2.64
Pd: 0.2541 0.5371 0.5000  4 As 2.56-2.64
Pd: 0.5371 0.7459 0.5000  4 As 2.56-2.64
Pd: 0.4629 0.2541 0.5000  4 As 2.56-2.64
Pd: 0.8864 0.6318 0.0000  5 As 2.45-2.55
Pd: 0.1136 0.3682 0.0000  5 As 2.45-2.55
Pd: 0.3682 0.8864 0.0000  5 As 2.45-2.55
Pd: 0.6318 0.1136 0.0000  5 As 2.45-2.55

ΔH_f (0 K) = -0.13 eV per atom
final energy = -10.100 eV/f.u.
spin magnetization = 0.000 Bohr magnetons per cell


# 4
Crystalline YZrBr2 at its relaxed geometry. Source: Alexandria, functional PBE.

Lattice parameters (Å, degrees): 10.5139 10.5139 10.5139 20.03 20.03 20.03
Last column: nearest neighbours and their distance in Å.
Element x y z (fractional)
Y: 0.4988 0.4988 0.4988  3 Br 2.90
Br: 0.0227 0.0227 0.0227  3 Zr 2.80
Br: 0.2297 0.2297 0.2297  3 Y 2.90
Zr: 0.7488 0.7488 0.7488  3 Br 2.80

final energy = -22.597 eV/f.u.
formation energy from raw total energies = -1.060 eV/atom
spin magnetization = 0.618 Bohr magnetons per cell


# 5
Crystalline Fe2HgRu at its relaxed geometry. Source: Alexandria, functional PBE.

Lattice parameters (Å, degrees): 4.7857 4.7857 4.7857 132.11 132.11 70.06
Last column: nearest neighbours and their distance in Å.
Element x y z (fractional)
Fe: 0.0000 0.0000 0.0000  4 Hg 2.75, 4 Fe 2.76, 4 Ru 2.76
Fe: 0.2500 0.7500 0.5000  4 Ru 2.75, 4 Hg 2.76, 4 Fe 2.76
Hg: 0.5000 0.5000 0.0000  8 Fe 2.75-2.76, 4 Ru 2.76
Ru: 0.7500 0.2500 0.5000  8 Fe 2.75-2.76, 4 Hg 2.76

ΔH_f (0 K) = 0.44 eV per atom
final energy = -24.744 eV/f.u.
spin magnetization = 6.359 Bohr magnetons per cell


# 6
Crystalline CdHgSeO4 at its relaxed geometry. Source: Alexandria, functional PBE.

Lattice parameters (Å, degrees): 5.5507 7.8073 7.8073 57.63 69.18 69.18
Last column: nearest neighbours and their distance in Å.
Element x y z (fractional)
Cd: 0.0000 0.0000 0.0000  4 O 2.32
Cd: 0.0000 0.5000 0.5000  4 O 2.32
Hg: 0.5000 0.0000 0.5000  2 Hg 2.78, 4 O 2.98
Hg: 0.0000 0.0000 0.5000  2 Hg 2.78, 4 O 2.98
Se: 0.5861 0.6639 0.1639  4 O 1.65-1.75
Se: 0.4139 0.3361 0.8361  4 O 1.65-1.75
O: 0.6524 0.7868 0.9084  1 Se 1.65
O: 0.3476 0.5916 0.7132  1 Se 1.65
O: 0.6524 0.4084 0.2868  1 Se 1.65
O: 0.3476 0.2132 0.0916  1 Se 1.65
O: 0.2485 0.7455 0.2455  1 Se 1.75
O: 0.7604 0.7455 0.2455  1 Se 1.75
O: 0.2396 0.2545 0.7545  1 Se 1.75
O: 0.7515 0.2545 0.7545  1 Se 1.75

final energy = -28.708 eV/f.u.
formation energy from raw total energies = -0.596 eV/atom
spin magnetization = 0.000 Bohr magnetons per cell


# 7
Crystalline Pm3NdDyHo at its relaxed geometry. Source: Alexandria, functional PBE.

Lattice parameters (Å, degrees): 5.1264 8.0736 10.8298 116.44 90.00 90.00
Last column: nearest neighbours and their distance in Å.
Element x y z (fractional)
Pm: 0.7500 0.8726 0.0421  3 Dy 3.60, 1 Ho 3.60, 5 Pm 3.62-3.65, 3 Nd 3.62-3.64
Pm: 0.2500 0.1274 0.9579  3 Dy 3.60, 1 Ho 3.60, 5 Pm 3.62-3.65, 3 Nd 3.62-3.64
Pm: 0.2500 0.6274 0.4575  1 Dy 3.59, 3 Ho 3.60, 5 Pm 3.62-3.65, 3 Nd 3.62-3.65
Pm: 0.7500 0.3726 0.5425  1 Dy 3.59, 3 Ho 3.60, 5 Pm 3.62-3.65, 3 Nd 3.62-3.65
Pm: 0.7500 0.3775 0.2079  1 Ho 3.60, 3 Dy 3.60, 6 Pm 3.62-3.65, 2 Nd 3.65
Pm: 0.2500 0.6225 0.7921  1 Ho 3.60, 3 Dy 3.60, 6 Pm 3.62-3.65, 2 Nd 3.65
Nd: 0.2500 0.1230 0.2923  3 Ho 3.60, 1 Dy 3.60, 8 Pm 3.62-3.65
Nd: 0.7500 0.8770 0.7077  3 Ho 3.60, 1 Dy 3.60, 8 Pm 3.62-3.65
Dy: 0.2500 0.6247 0.1249  7 Pm 3.59-3.60, 1 Nd 3.60, 2 Dy 3.62, 2 Ho 3.62
Dy: 0.7500 0.3753 0.8751  7 Pm 3.59-3.60, 1 Nd 3.60, 2 Dy 3.62, 2 Ho 3.62
Ho: 0.2500 0.1252 0.6252  5 Pm 3.60, 3 Nd 3.60, 2 Dy 3.62, 2 Ho 3.62
Ho: 0.7500 0.8748 0.3748  5 Pm 3.60, 3 Nd 3.60, 2 Dy 3.62, 2 Ho 3.62

ΔH_f (0 K) = 0.02 eV per atom
final energy = -28.082 eV/f.u.
spin magnetization = 0.000 Bohr magnetons per cell


# 8
Crystalline CsCdNF2 at its relaxed geometry. Source: Alexandria, functional PBE.

Lattice parameters (Å, degrees): 5.1822 5.1822 4.4716 90.00 90.00 90.00
Last column: nearest neighbours and their distance in Å.
Element x y z (fractional)
Cs: 0.0000 0.0000 0.0000  2 N 2.24
N: 0.0000 0.0000 0.5000  2 Cs 2.24
F: 0.0000 0.5000 0.0000  2 Cs 2.59
F: 0.5000 0.0000 0.0000  2 Cs 2.59
Cd: 0.5000 0.5000 0.5000  8 F 3.42, 4 N 3.66

final energy = -12.839 eV/f.u.
formation energy from raw total energies = 0.200 eV/atom
spin magnetization = 0.702 Bohr magnetons per cell


# 9
Crystalline Tb3SmY6Th2 at its relaxed geometry. Source: Alexandria, functional PBE.

Lattice parameters (Å, degrees): 6.2048 6.2048 11.7985 95.05 95.05 119.96
Last column: nearest neighbours and their distance in Å.
Element x y z (fractional)
Tb: 0.1663 0.8337 0.5000  6 Y 3.57-3.60, 6 Tb 3.57-3.59
Tb: 0.8337 0.1663 0.5000  6 Y 3.57-3.60, 6 Tb 3.57-3.59
Tb: 0.5000 0.5000 0.5000  6 Y 3.57-3.59, 6 Tb 3.58-3.59
Sm: 0.0000 0.0000 0.0000  6 Y 3.56, 6 Th 3.58
Y: 0.9167 0.5790 0.7522  2 Th 3.54, 6 Y 3.56-3.63, 1 Sm 3.56, 3 Tb 3.57-3.60
Y: 0.7456 0.7456 0.2480  2 Th 3.54, 6 Y 3.56-3.63, 1 Sm 3.56, 3 Tb 3.57-3.59
Y: 0.0833 0.4210 0.2478  2 Th 3.54, 6 Y 3.56-3.63, 1 Sm 3.56, 3 Tb 3.57-3.60
Y: 0.5790 0.9167 0.7522  2 Th 3.54, 6 Y 3.56-3.63, 1 Sm 3.56, 3 Tb 3.57-3.60
Y: 0.2544 0.2544 0.7520  2 Th 3.54, 6 Y 3.56-3.63, 1 Sm 3.56, 3 Tb 3.57-3.59
Y: 0.4210 0.0833 0.2478  2 Th 3.54, 6 Y 3.56-3.63, 1 Sm 3.56, 3 Tb 3.57-3.60
Th: 0.3333 0.6667 0.0000  6 Y 3.54, 3 Sm 3.58, 3 Th 3.58
Th: 0.6667 0.3333 0.0000  6 Y 3.54, 3 Sm 3.58, 3 Th 3.58

ΔH_f (0 K) = 0.03 eV per atom
final energy = -71.898 eV/f.u.
spin magnetization = 0.000 Bohr magnetons per cell